First-principles (PBE) data for a relaxed TaAuSe3 crystal, as listed in the Alexandria database.

Cell lengths 3.725, 12.722, 10.397 Å; angles 90.00, 90.00, 90.00 degrees
Sites, in units of the cell vectors:
Ta (0.750, 0.375, 0.615)
Ta (0.250, 0.875, 0.885)
Ta (0.250, 0.625, 0.385)
Ta (0.750, 0.125, 0.115)
Au (0.250, 0.226, 0.738)
Au (0.750, 0.726, 0.762)
Au (0.750, 0.774, 0.262)
Au (0.250, 0.274, 0.238)
Se (0.250, 0.406, 0.430)
Se (0.750, 0.906, 0.070)
Se (0.750, 0.594, 0.570)
Se (0.250, 0.094, 0.930)
Se (0.750, 0.186, 0.567)
Se (0.250, 0.686, 0.933)
Se (0.250, 0.814, 0.433)
Se (0.750, 0.314, 0.067)
Se (0.250, 0.425, 0.780)
Se (0.750, 0.925, 0.720)
Se (0.750, 0.575, 0.220)
Se (0.250, 0.075, 0.280)

ΔE_f (raw)	-476	meV per atom
size of the total moment	0.0	Bohr magnetons per cell

***

First-principles (PBE) data for a relaxed NaTl4CdPb crystal, as listed in the Alexandria database.

Cell lengths 6.284, 6.284, 11.792 Å; angles 90.00, 90.00, 114.97 degrees
Sites, in units of the cell vectors:
Na (0.664, 0.336, 0.250)
Na (0.336, 0.664, 0.750)
Tl (0.343, 0.168, 0.750)
Tl (0.832, 0.657, 0.750)
Tl (0.833, 0.167, 0.005)
Tl (0.833, 0.167, 0.495)
Tl (0.167, 0.833, 0.995)
Tl (0.167, 0.833, 0.505)
Tl (0.657, 0.832, 0.250)
Tl (0.168, 0.343, 0.250)
Cd (0.159, 0.841, 0.250)
Cd (0.841, 0.159, 0.750)
Pb (0.500, 0.500, 0.500)
Pb (0.500, 0.500, 0.000)

size of the total moment	0.0	Bohr magnetons per cell
total energy	-2.18	eV per atom

***

First-principles (PBE) data for a relaxed YZr2As2 crystal, as listed in the Alexandria database.

Cell lengths 4.186, 4.186, 6.926 Å; angles 72.41, 72.41, 90.00 degrees
Sites, in units of the cell vectors:
Y (0.000, 0.000, 0.000)
As (0.394, 0.394, 0.211)
As (0.606, 0.606, 0.789)
Zr (0.750, 0.250, 0.500)
Zr (0.250, 0.750, 0.500)

size of the total moment	0.0	Bohr magnetons per cell
total energy	-7.44	eV per atom

***

- What is the size of the total moment in the first record?
  0.0 Bohr magnetons per cell

***

- What is the size of the total moment in the second record?
  0.0 Bohr magnetons per cell